# 1
A plane-wave DFT calculation with PBE was carried out for a relaxed Ba2CuW crystal.

Summary:
Energy of formation in kJ/mol of formula units: 411
Total magnetization in μB per cell: 0.0
Density in g cm⁻³: 7.9
Relative energy among the computed polymorphs in kJ/mol of atoms: 24.1

a = 3.3416 Å, b = 3.3432 Å, c = 9.8389 Å
α = 90.00°, β = 90.00°, γ = 90.00°
Closest atoms and distances in Å follow each position.
Fractional coordinates of all 4 atoms:
Ba  0.0000  0.0000  0.4908  4 Ba 3.34, 4 Cu 3.35, 4 W 3.48
Ba  0.0000  0.0000  0.0092  4 Ba 3.34, 4 Cu 3.35, 4 W 3.48
W  0.5000  0.5000  0.7500  4 W 3.34, 8 Ba 3.48
Cu  0.5000  0.5000  0.2500  4 Cu 3.34, 8 Ba 3.35

---

# 2
A plane-wave DFT calculation with PBE was carried out for a relaxed BaCuW2 crystal.

Summary:
Energy of formation in kJ/mol of formula units: 332
Total magnetization in μB per cell: 0.0
Density in g cm⁻³: 11.8
Relative energy among the computed polymorphs in kJ/mol of atoms: 17.7

a = 2.9698 Å, b = 2.9698 Å, c = 9.5906 Å
α = 90.00°, β = 90.00°, γ = 108.71°
Closest atoms and distances in Å follow each position.
Fractional coordinates of all 4 atoms:
W  0.5000  0.5000  0.1989  2 W 2.61
W  0.0000  0.0000  0.9955  2 Cu 2.58, 2 W 2.61
Ba  0.0000  0.0000  0.5097  4 Ba 2.97, 2 Cu 3.24
Cu  0.5000  0.5000  0.7958  2 W 2.58

---

# 3
A plane-wave DFT calculation with PBE was carried out for a relaxed BaCu2W crystal.

Summary:
Energy of formation in kJ/mol of formula units: 485
Total magnetization in μB per cell: 1.0
Density in g cm⁻³: 9.3
Relative energy among the computed polymorphs in kJ/mol of atoms: 67.1

a = 5.6047 Å, b = 5.6047 Å, c = 5.6047 Å
α = 137.42°, β = 137.42°, γ = 61.79°
Closest atoms and distances in Å follow each position.
Fractional coordinates of all 4 atoms:
Ba  0.7500  0.2500  0.5000  8 Cu 2.88-3.15, 4 W 3.15
W  0.5000  0.5000  0.0000  8 Cu 2.88-3.15, 4 Ba 3.15
Cu  0.2500  0.7500  0.5000  4 Ba 2.88, 4 Cu 3.15, 4 W 3.15
Cu  0.0000  0.0000  0.0000  4 W 2.88, 4 Cu 3.15, 4 Ba 3.15

---

# 4
A plane-wave DFT calculation with PBE was carried out for a relaxed BaCuW2 crystal.

Summary:
Energy of formation in kJ/mol of formula units: 572
Total magnetization in μB per cell: 0.0
Density in g cm⁻³: 11.3
Relative energy among the computed polymorphs in kJ/mol of atoms: 77.6

a = 5.3352 Å, b = 3.9599 Å, c = 3.9599 Å
α = 90.00°, β = 90.00°, γ = 90.00°
Closest atoms and distances in Å follow each position.
Fractional coordinates of all 4 atoms:
Ba  0.5000  0.5000  0.0000  4 Cu 2.80
W  0.0000  0.5000  0.5000  4 W 2.80
W  0.0000  0.0000  0.0000  4 W 2.80
Cu  0.5000  0.0000  0.5000  4 Ba 2.80

---

# 5
A plane-wave DFT calculation with PBE was carried out for a relaxed BaCu2W crystal.

Summary:
Energy of formation in kJ/mol of formula units: 439
Total magnetization in μB per cell: 3.3
Density in g cm⁻³: 8.7
Relative energy among the computed polymorphs in kJ/mol of atoms: 55.4

a = 4.9481 Å, b = 4.9481 Å, c = 4.9481 Å
α = 60.00°, β = 60.00°, γ = 60.00°
Closest atoms and distances in Å follow each position.
Fractional coordinates of all 4 atoms:
Cu  0.7500  0.7500  0.7500  4 Ba 3.03, 4 W 3.03
Cu  0.2500  0.2500  0.2500  4 W 3.03, 4 Ba 3.03
W  0.5000  0.5000  0.5000  8 Cu 3.03
Ba  0.0000  0.0000  0.0000  8 Cu 3.03

---

# 6
A plane-wave DFT calculation with PBE was carried out for a relaxed BaCu2W crystal.

Summary:
Energy of formation in kJ/mol of formula units: 368
Total magnetization in μB per cell: 0.0
Density in g cm⁻³: 9.9
Relative energy among the computed polymorphs in kJ/mol of atoms: 37.8

a = 6.9970 Å, b = 5.1387 Å, c = 2.9314 Å
α = 90.06°, β = 65.13°, γ = 124.12°
Closest atoms and distances in Å follow each position.
Fractional coordinates of all 4 atoms:
Cu  0.5000  0.0000  0.5000  4 Cu 2.93-3.17, 4 Ba 2.96, 4 W 2.96
Cu  0.0000  0.0000  0.0000  4 Cu 2.93-3.17, 4 W 2.96, 4 Ba 2.96
Ba  0.5000  0.5000  0.0000  2 Ba 2.93, 8 Cu 2.96, 2 W 3.17
W  0.0000  0.5000  0.5000  2 W 2.93, 8 Cu 2.96, 2 Ba 3.17

---

# 7
A plane-wave DFT calculation with PBE was carried out for a relaxed Ba2CuW crystal.

Summary:
Energy of formation in kJ/mol of formula units: 480
Total magnetization in μB per cell: 3.3
Density in g cm⁻³: 7.6
Relative energy among the computed polymorphs in kJ/mol of atoms: 41.3

a = 5.4326 Å, b = 5.4326 Å, c = 5.4326 Å
α = 60.00°, β = 60.00°, γ = 60.00°
Closest atoms and distances in Å follow each position.
Fractional coordinates of all 4 atoms:
Ba  0.0000  0.0000  0.0000  4 W 3.33, 4 Ba 3.33
Ba  0.2500  0.2500  0.2500  4 Ba 3.33, 4 Cu 3.33
W  0.7500  0.7500  0.7500  4 Ba 3.33, 4 Cu 3.33
Cu  0.5000  0.5000  0.5000  4 Ba 3.33, 4 W 3.33

---

# 8
A plane-wave DFT calculation with PBE was carried out for a relaxed BaCuW2 crystal.

Summary:
Energy of formation in kJ/mol of formula units: 404
Total magnetization in μB per cell: 0.0
Density in g cm⁻³: 11.0
Relative energy among the computed polymorphs in kJ/mol of atoms: 35.8

a = 3.3708 Å, b = 3.3708 Å, c = 7.5797 Å
α = 90.00°, β = 90.00°, γ = 90.00°
Closest atoms and distances in Å follow each position.
Fractional coordinates of all 4 atoms:
W  0.0000  0.0000  0.9033  1 W 2.32
W  0.0000  0.0000  0.5967  1 W 2.32
Ba  0.5000  0.5000  0.2500  4 Ba 3.37, 8 W 3.55
Cu  0.5000  0.5000  0.7500  8 W 2.65

---

# 9
A plane-wave DFT calculation with PBE was carried out for a relaxed BaCu2W crystal.

Summary:
Energy of formation in kJ/mol of formula units: 424
Total magnetization in μB per cell: 0.0
Density in g cm⁻³: 8.5
Relative energy among the computed polymorphs in kJ/mol of atoms: 51.8

a = 6.0367 Å, b = 6.0367 Å, c = 6.0367 Å
α = 151.13°, β = 124.13°, γ = 64.11°
Closest atoms and distances in Å follow each position.
Fractional coordinates of all 4 atoms:
W  0.7500  0.2500  0.5000  4 Cu 2.58
Cu  0.5456  0.5456  0.0000  2 W 2.58
Cu  0.9544  0.9544  0.0000  2 W 2.58
Ba  0.2500  0.7500  0.5000  2 Ba 3.01, 4 W 3.20

---

# 10
A plane-wave DFT calculation with PBE was carried out for a relaxed BaCu2W crystal.

Summary:
Energy of formation in kJ/mol of formula units: 298
Total magnetization in μB per cell: 0.0
Density in g cm⁻³: 8.9
Relative energy among the computed polymorphs in kJ/mol of atoms: 20.3

a = 4.1521 Å, b = 2.9880 Å, c = 6.9763 Å
α = 75.90°, β = 90.00°, γ = 90.00°
Closest atoms and distances in Å follow each position.
Fractional coordinates of all 4 atoms:
W  0.0000  0.4845  0.3806  6 Cu 2.58-2.68
Cu  0.5000  0.0302  0.2758  2 Cu 2.50, 4 W 2.63-2.68
Cu  0.0000  0.1602  0.0694  2 Cu 2.50, 2 W 2.58
Ba  0.5000  0.8251  0.7742  2 Ba 2.99, 4 Cu 3.24-3.25

---

# 11
A plane-wave DFT calculation with PBE was carried out for a relaxed Ba2CuW crystal.

Summary:
Energy of formation in kJ/mol of formula units: 443
Total magnetization in μB per cell: 3.1
Density in g cm⁻³: 6.9
Relative energy among the computed polymorphs in kJ/mol of atoms: 32.1

a = 5.6327 Å, b = 5.6327 Å, c = 5.6327 Å
α = 60.00°, β = 60.00°, γ = 60.00°
Closest atoms and distances in Å follow each position.
Fractional coordinates of all 4 atoms:
Ba  0.7500  0.7500  0.7500  4 W 3.45, 4 Cu 3.45
Ba  0.2500  0.2500  0.2500  4 W 3.45, 4 Cu 3.45
W  0.5000  0.5000  0.5000  8 Ba 3.45
Cu  0.0000  0.0000  0.0000  8 Ba 3.45

---

# 12
A plane-wave DFT calculation with PBE was carried out for a relaxed BaCuW2 crystal.

Summary:
Energy of formation in kJ/mol of formula units: 543
Total magnetization in μB per cell: 0.0
Density in g cm⁻³: 8.6
Relative energy among the computed polymorphs in kJ/mol of atoms: 70.3

a = 4.8673 Å, b = 4.8673 Å, c = 9.8408 Å
α = 75.68°, β = 75.68°, γ = 90.00°
Closest atoms and distances in Å follow each position.
Fractional coordinates of all 8 atoms:
Ba  0.0000  0.0000  0.0000  4 Cu 3.44, 8 W 3.57
Ba  0.7500  0.2500  0.5000  4 Cu 3.44, 8 W 3.57
W  0.3750  0.6248  0.7500  2 W 2.43, 2 Cu 2.61
W  0.8750  0.6252  0.7500  2 W 2.43, 2 Cu 2.61
W  0.3748  0.6250  0.2500  2 W 2.43, 2 Cu 2.61
W  0.3752  0.1250  0.2500  2 W 2.43, 2 Cu 2.61
Cu  0.2500  0.7500  0.5000  4 W 2.61
Cu  0.5000  0.5000  0.0000  4 W 2.61